## i
## SrFe2Cl (PBEsol)

Data for a relaxed SrFe2Cl crystal.

The calculation puts the density at 4.980 Mg/m³.

The structure belongs to space group Imm2 (No. 44); the cell edges are 3.372, 5.678 and 8.177 Å and the angles 90.00°, 90.00° and 90.00°. The distinct sites, in fractional coordinates, are Sr at (0.000, 0.000, 0.000), Fe at (0.000, 0.000, 0.503), Fe at (0.000, 0.500, 0.838) and Cl at (0.000, 0.500, 0.194).


## ii
## SrFe2Cl (PBEsol)

Data for a relaxed SrFe2Cl crystal.

The calculation puts the density at 4.232 Mg/m³.

The structure belongs to space group Pmmm (No. 47); the cell edges are 3.323, 5.134 and 5.399 Å and the angles 90.00°, 90.00° and 90.00°. The distinct sites, in fractional coordinates, are Sr at (0.000, 0.000, 0.000), Fe at (0.500, 0.500, 0.196) and Cl at (0.000, 0.000, 0.500).


## iii
## SrFe2Cl (PBEsol)

Data for a relaxed SrFe2Cl crystal.

The calculation puts the density at 5.219 Mg/m³.

The structure belongs to space group Amm2 (No. 38); the cell edges are 3.192, 3.307 and 14.150 Å and the angles 90.00°, 90.00° and 90.00°. The distinct sites, in fractional coordinates, are Sr at (0.000, 0.000, 0.000), Fe at (0.000, 0.000, 0.219), Fe at (0.500, 0.000, 0.657) and Cl at (0.500, 0.000, 0.367).


Quick one: most stable of them? iii


## i
## SrFe2Cl (PBEsol)

Data for a relaxed SrFe2Cl crystal.

The calculation puts the density at 4.789 Mg/m³.

The structure belongs to space group P4mm (No. 99); the cell edges are 3.257, 3.257 and 7.674 Å and the angles 90.00°, 90.00° and 90.00°. The distinct sites, in fractional coordinates, are Sr at (0.000, 0.000, 0.000), Fe at (0.000, 0.000, 0.597), Fe at (0.500, 0.500, 0.697) and Cl at (0.500, 0.500, 0.225).


## ii
## SrFe2Cl (PBEsol)

Data for a relaxed SrFe2Cl crystal.

The calculation puts the density at 4.555 Mg/m³.

The structure belongs to space group Cmmm (No. 65); the cell edges are 5.259, 10.338 and 3.148 Å and the angles 90.00°, 90.00° and 90.00°. The distinct sites, in fractional coordinates, are Sr at (0.000, 0.000, 0.000), Fe at (0.250, 0.250, 0.500) and Cl at (0.000, 0.500, 0.000).


Quick one: most stable of them? i